Record 1
Computed, not measured: a relaxed structure of Li2RhS2 at the GGA-PBE level of DFT.

The structure in POSCAR format:
```
Li2RhS2
1.0
6.452 0.000 0.000
0.000 6.452 0.000
0.000 0.000 3.492
Li Rh S
4 2 4
direct
0.140 0.360 0.000 Li
0.360 0.860 0.000 Li
0.640 0.140 0.000 Li
0.860 0.640 0.000 Li
0.000 0.000 0.500 Rh
0.500 0.500 0.500 Rh
0.172 0.672 0.500 S
0.328 0.172 0.500 S
0.672 0.828 0.500 S
0.828 0.328 0.500 S
```

DOS(E_F)   4.5 states/eV/f.u.
Space-group type   P4/mbm (127)
Total magnetic moment   0.000 μB per cell
Calculated volume   14.54 A^3/atom
Calculated total energy   -4.609 eV/atom


Record 2
Computed, not measured: a relaxed structure of Li2RhS2 at the GGA-PBE level of DFT.

The structure in POSCAR format:
```
Li2RhS2
1.0
4.518 0.000 0.000
0.000 4.518 0.000
0.000 0.000 7.212
Li Rh S
4 2 4
direct
0.000 0.000 0.158 Li
0.000 0.000 0.842 Li
0.500 0.500 0.342 Li
0.500 0.500 0.658 Li
0.000 0.000 0.500 Rh
0.500 0.500 0.000 Rh
0.000 0.500 0.250 S
0.000 0.500 0.750 S
0.500 0.000 0.250 S
0.500 0.000 0.750 S
```

DOS(E_F)   3.7 states/eV/f.u.
Space-group type   I4/mmm (139)
Total magnetic moment   2.398 μB per cell
Calculated volume   14.72 A^3/atom
Calculated total energy   -4.033 eV/atom


Record 3
Computed, not measured: a relaxed structure of LiRhS at the GGA-PBE level of DFT.

The structure in POSCAR format:
```
LiRhS
1.0
3.064 0.000 0.000
-1.532 2.654 0.000
0.000 0.000 11.047
Li Rh S
2 2 2
direct
0.000 0.000 0.182 Li
0.000 0.000 0.818 Li
0.000 0.000 0.500 Rh
0.667 0.333 0.000 Rh
0.667 0.333 0.349 S
0.667 0.333 0.651 S
```

DOS(E_F)   4.0 states/eV/f.u.
Space-group type   P-6m2 (187)
Total magnetic moment   0.371 μB per cell
Calculated volume   14.97 A^3/atom
Calculated total energy   -4.567 eV/atom


Record 4
Computed, not measured: a relaxed structure of LiRh2S at the GGA-PBE level of DFT.

The structure in POSCAR format:
```
LiRh2S
1.0
7.210 0.000 0.000
0.000 7.210 0.000
0.000 0.000 4.955
Li Rh S
4 8 4
direct
0.000 0.000 0.000 Li
0.000 0.500 0.250 Li
0.500 0.000 0.750 Li
0.500 0.500 0.500 Li
0.148 0.750 0.625 Rh
0.250 0.148 0.375 Rh
0.250 0.352 0.875 Rh
0.352 0.750 0.125 Rh
0.648 0.250 0.125 Rh
0.750 0.648 0.875 Rh
0.750 0.852 0.375 Rh
0.852 0.250 0.625 Rh
0.000 0.000 0.500 S
0.000 0.500 0.750 S
0.500 0.000 0.250 S
0.500 0.500 0.000 S
```

DOS(E_F)   2.0 states/eV/f.u.
Space-group type   I-42d (122)
Total magnetic moment   0.000 μB per cell
Calculated volume   16.10 A^3/atom
Calculated total energy   -5.392 eV/atom